A plane-wave DFT calculation with PBE+U was carried out for a geometry-optimized AgMoPbO4 structure.

Cell and atoms, written as POSCAR:
```
AgMoPbO4
1.0
6.1441 0.0000 0.0000
0.0000 5.8219 0.0000
-2.7569 0.0000 7.6208
Ag Mo Pb O
2 2 2 8
direct
0.0956 0.2500 0.0384
0.9044 0.7500 0.9616
0.4943 0.2500 0.6796
0.5057 0.7500 0.3204
0.2060 0.7500 0.7117
0.7940 0.2500 0.2883
0.1923 0.2500 0.5544
0.3273 0.7500 0.4560
0.4589 0.0037 0.1831
0.4589 0.4963 0.1831
0.5411 0.5037 0.8169
0.5411 0.9963 0.8169
0.6727 0.2500 0.5440
0.8077 0.7500 0.4456
```

SG = P2_1/m, No. 11
E_tot = -40.9 eV/f.u.
size of the total moment = 0.00 μB/f.u.

=====

A plane-wave DFT calculation with PBE+U was carried out for a geometry-optimized Ag2MoPbO structure.

Cell and atoms, written as POSCAR:
```
Ag2MoPbO
1.0
5.3422 0.0000 0.0000
0.0000 5.3422 0.0000
0.0000 0.0000 5.6645
Ag Mo Pb O
2 1 1 1
direct
0.0000 0.5000 0.0000
0.5000 0.0000 0.0000
0.0000 0.0000 0.0000
0.0000 0.0000 0.5000
0.5000 0.5000 0.5000
```

SG = P4/mmm, No. 123
E_tot = -14.2 eV/f.u.
size of the total moment = 5.74 μB/f.u.

=====

A plane-wave DFT calculation with PBE+U was carried out for a geometry-optimized AgMoPbO5 structure.

Cell and atoms, written as POSCAR:
```
AgMoPbO5
1.0
4.4163 -4.6796 0.0000
4.4163 4.6796 0.0000
-3.8392 0.0000 7.3650
Ag Mo Pb O
2 2 2 10
direct
0.1965 0.8035 0.7500
0.8035 0.1965 0.2500
0.1342 0.8658 0.2500
0.8658 0.1342 0.7500
0.5000 0.5000 0.0000
0.5000 0.5000 0.5000
0.1660 0.2064 0.8515
0.2064 0.1660 0.3515
0.2349 0.7456 0.4223
0.2544 0.7651 0.0777
0.4328 0.5672 0.7500
0.5672 0.4328 0.2500
0.7456 0.2349 0.9223
0.7651 0.2544 0.5777
0.7936 0.8340 0.6485
0.8340 0.7936 0.1485
```

SG = C2/c, No. 15
E_tot = -47.2 eV/f.u.
size of the total moment = 0.00 μB/f.u.

=====

A plane-wave DFT calculation with PBE+U was carried out for a geometry-optimized Ag2MoPbO4 structure.

Cell and atoms, written as POSCAR:
```
Ag2MoPbO4
1.0
0.0000 3.9907 4.9407
3.5367 0.0000 4.9407
3.5367 3.9907 0.0000
Ag Mo Pb O
2 1 1 4
direct
0.0000 0.0000 0.5000
0.5000 0.5000 0.0000
0.2695 0.2695 0.7305
0.7204 0.7204 0.2796
0.1305 0.6139 0.8695
0.3581 0.9587 0.0413
0.6139 0.1305 0.3861
0.9587 0.3581 0.6419
```

SG = Fmm2, No. 42
E_tot = -42.5 eV/f.u.
size of the total moment = 2.00 μB/f.u.

=====

A plane-wave DFT calculation with PBE+U was carried out for a geometry-optimized AgMo2PbO8 structure.

Cell and atoms, written as POSCAR:
```
AgMo2PbO8
1.0
-3.7427 3.7427 3.4716
3.7427 -3.7427 3.4716
3.7427 3.7427 -3.4716
Ag Mo Pb O
1 2 1 8
direct
0.0000 0.0000 0.0000
0.5000 0.5000 0.0000
0.7500 0.2500 0.5000
0.2500 0.7500 0.5000
0.3476 0.1545 0.8069
0.3476 0.5408 0.1931
0.3996 0.0904 0.3091
0.4592 0.6524 0.8069
0.7813 0.0904 0.6909
0.8455 0.6524 0.1931
0.9096 0.2187 0.3091
0.9096 0.6004 0.6909
```

SG = I-4m2, No. 119
E_tot = -74.7 eV/f.u.
size of the total moment = 0.46 μB/f.u.

=====

A plane-wave DFT calculation with PBE+U was carried out for a geometry-optimized AgMoPdO5 structure.

Cell and atoms, written as POSCAR:
```
AgMoPdO5
1.0
3.6168 -5.8084 0.0000
3.6168 5.8084 0.0000
-2.6489 0.0000 6.3685
Ag Mo Pd O
2 2 2 10
direct
0.2279 0.7721 0.7500
0.7721 0.2279 0.2500
0.1222 0.8778 0.2500
0.8778 0.1222 0.7500
0.5000 0.5000 0.0000
0.5000 0.5000 0.5000
0.1326 0.7051 0.4107
0.1714 0.2325 0.9152
0.2325 0.1714 0.4152
0.2949 0.8674 0.0893
0.4265 0.5735 0.7500
0.5735 0.4265 0.2500
0.7051 0.1326 0.9107
0.7675 0.8286 0.5848
0.8286 0.7675 0.0848
0.8674 0.2949 0.5893
```

SG = C2/c, No. 15
E_tot = -46.7 eV/f.u.
size of the total moment = 0.32 μB/f.u.

=====

Question: What is the formula in the fifth record?
Answer: AgMo2PbO8